4
Lattice="-4.230 8.772 3.143 -6.974 7.239 1.915 -5.954 6.602 5.068" Properties=species:S:1:pos:R:3 comment="SrTa2In | Alexandria | PBE | relaxed" magnetic_moment_mub_per_cell=0.00 delta_e_f_ev_per_atom=0.519 pbc="T T T"
Ta -16.903 22.276 9.975
Ta -4.389 5.785 2.590
Sr -12.845 16.928 7.580
In -8.759 11.543 5.169